(1)
# CaMn3Fe (PBE-GGA, relaxed)
# * formation energy from the elements: 2072 meV/atom
# * M_tot: 13.4 μB per cell
# * DOS at the Fermi energy: 6.65 states/eV/cell
data_CaMn3Fe
_chemical_formula_sum 'Ca1 Mn3 Fe1'
_cell_length_a 4.602
_cell_length_b 4.602
_cell_length_c 4.602
_cell_angle_alpha 90.00
_cell_angle_beta 90.00
_cell_angle_gamma 90.00
_symmetry_space_group_name_H-M 'P m -3 m'
_symmetry_Int_Tables_number 221
_symmetry_space_group_name_Hall '-P 4 2 3'
loop_
_atom_site_label
_atom_site_fract_x
_atom_site_fract_y
_atom_site_fract_z
_atom_site_occupancy
Ca1 0.000 0.000 0.000 1
Mn1 0.000 0.000 0.500 1
Fe1 0.500 0.500 0.500 1


(2)
# SbMoCl2 (PBE-GGA, relaxed)
# * energy relative to the elements, uncorrected: -17 kJ per mole of atoms
# * M_tot: 0.0 μB per cell
# * DOS at the Fermi energy: 5.83 states/eV/cell
data_SbMoCl2
_chemical_formula_sum 'Sb3 Mo3 Cl6'
_cell_length_a 3.1605
_cell_length_b 3.1605
_cell_length_c 36.1698
_cell_angle_alpha 90.00
_cell_angle_beta 90.00
_cell_angle_gamma 120.00
_symmetry_space_group_name_H-M 'R -3 m'
_symmetry_Int_Tables_number 166
_symmetry_space_group_name_Hall '-R 3 2"'
loop_
_atom_site_label
_atom_site_fract_x
_atom_site_fract_y
_atom_site_fract_z
_atom_site_occupancy
Sb1 0.0000 0.0000 0.0000 1
Mo1 0.0000 0.0000 0.5000 1
Cl1 0.0000 0.0000 0.1196 1


(3)
# Sm5Dy3S8 (PBE-GGA, relaxed)
# * energy relative to the elements, uncorrected: -194 kJ per mole of atoms
# * M_tot: 0.0 μB per cell
# * DOS at the Fermi energy: 26.23 states/eV/cell
data_Sm5Dy3S8
_chemical_formula_sum 'Sm15 Dy9 S24'
_cell_length_a 7.9310
_cell_length_b 7.9310
_cell_length_c 19.5188
_cell_angle_alpha 90.00
_cell_angle_beta 90.00
_cell_angle_gamma 120.00
_symmetry_space_group_name_H-M 'R -3 m'
_symmetry_Int_Tables_number 166
_symmetry_space_group_name_Hall '-R 3 2"'
loop_
_atom_site_label
_atom_site_fract_x
_atom_site_fract_y
_atom_site_fract_z
_atom_site_occupancy
Sm1 0.0000 0.0000 0.0000 1
Sm2 0.0000 0.0000 0.5000 1
Sm3 0.0000 0.5000 0.0000 1
Dy1 0.0000 0.5000 0.5000 1
S1 0.0000 0.0000 0.2465 1
S2 0.0048 0.5024 0.7524 1


(4)
# ZrVP2 (PBE-GGA, relaxed)
# * formation energy from the elements: -878 meV/atom
# * M_tot: 5.0 μB per cell
# * DOS at the Fermi energy: 15.10 states/eV/cell
data_ZrVP2
_chemical_formula_sum 'Zr3 V3 P6'
_cell_length_a 3.6790
_cell_length_b 3.6790
_cell_length_c 16.9159
_cell_angle_alpha 90.00
_cell_angle_beta 90.00
_cell_angle_gamma 120.00
_symmetry_space_group_name_H-M 'R -3 m'
_symmetry_Int_Tables_number 166
_symmetry_space_group_name_Hall '-R 3 2"'
loop_
_atom_site_label
_atom_site_fract_x
_atom_site_fract_y
_atom_site_fract_z
_atom_site_occupancy
Zr1 0.0000 0.0000 0.0000 1
V1 0.0000 0.0000 0.5000 1
P1 0.0000 0.0000 0.2406 1


(5)
# Li3PH (PBE-GGA, relaxed)
# * raw total energy: -2.903 eV per atom
# * M_tot: 1.0 μB per cell
# * DOS at the Fermi energy: 0.67 states/eV/cell
data_Li3PH
_chemical_formula_sum 'Li3 P1 H1'
_cell_length_a 4.714
_cell_length_b 4.714
_cell_length_c 4.714
_cell_angle_alpha 90.00
_cell_angle_beta 90.00
_cell_angle_gamma 90.00
_symmetry_space_group_name_H-M 'P m -3 m'
_symmetry_Int_Tables_number 221
_symmetry_space_group_name_Hall '-P 4 2 3'
loop_
_atom_site_label
_atom_site_fract_x
_atom_site_fract_y
_atom_site_fract_z
_atom_site_occupancy
Li1 0.000 0.000 0.500 1
P1 0.000 0.000 0.000 1
H1 0.500 0.500 0.500 1


(6)
# PmNd7Er2 (PBE-GGA, relaxed)
# * formation energy from the elements: 638 meV/atom
# * M_tot: 0.0 μB per cell
# * DOS at the Fermi energy: 29.28 states/eV/cell
data_PmNd7Er2
_chemical_formula_sum 'Pm2 Nd14 Er4'
_cell_length_a 8.961
_cell_length_b 16.216
_cell_length_c 5.753
_cell_angle_alpha 90.00
_cell_angle_beta 90.00
_cell_angle_gamma 90.00
_symmetry_space_group_name_H-M 'C m m m'
_symmetry_Int_Tables_number 65
_symmetry_space_group_name_Hall '-C 2 2'
loop_
_atom_site_label
_atom_site_fract_x
_atom_site_fract_y
_atom_site_fract_z
_atom_site_occupancy
Pm1 0.000 0.000 0.000 1
Nd1 0.000 0.227 0.000 1
Nd2 0.000 0.500 0.500 1
Nd3 0.179 0.116 0.500 1
Er1 0.000 0.296 0.500 1


(7)
# PrIn2PbS4 (PBE-GGA, relaxed)
# * energy relative to the elements, uncorrected: -82 kJ per mole of atoms
# * M_tot: 0.0 μB per cell
# * DOS at the Fermi energy: 4.13 states/eV/cell
data_PrIn2PbS4
_chemical_formula_sum 'Pr1 In2 Pb1 S4'
_cell_length_a 7.363
_cell_length_b 4.135
_cell_length_c 7.367
_cell_angle_alpha 90.00
_cell_angle_beta 108.86
_cell_angle_gamma 90.00
_symmetry_space_group_name_H-M 'P 1 2/m 1'
_symmetry_Int_Tables_number 10
_symmetry_space_group_name_Hall '-P 2y'
loop_
_atom_site_label
_atom_site_fract_x
_atom_site_fract_y
_atom_site_fract_z
_atom_site_occupancy
Pr1 0.000 0.000 0.000 1
In1 0.500 0.000 0.500 1
In2 0.500 0.500 0.000 1
Pb1 0.000 0.500 0.500 1
S1 0.233 0.500 0.226 1
S2 0.249 0.000 0.768 1


(8)
# KThTe (PBE-GGA, relaxed)
# * energy relative to the elements, uncorrected: -64 kJ per mole of atoms
# * M_tot: 0.0 μB per cell
# * DOS at the Fermi energy: 4.03 states/eV/cell
data_KThTe
_chemical_formula_sum 'K2 Th2 Te2'
_cell_length_a 4.821
_cell_length_b 4.821
_cell_length_c 9.544
_cell_angle_alpha 90.00
_cell_angle_beta 90.00
_cell_angle_gamma 90.00
_symmetry_space_group_name_H-M 'P 4/n m m'
_symmetry_Int_Tables_number 129
loop_
_symmetry_equiv_pos_as_xyz
'x,y,z'
'-x,-y,-z'
'-y+1/2,x,z'
'y+1/2,-x,-z'
'-x+1/2,-y+1/2,z'
'x+1/2,y+1/2,-z'
'y,-x+1/2,z'
'-y,x+1/2,-z'
'x+1/2,-y,-z'
'-x+1/2,y,z'
'-y,-x,-z'
'y,x,z'
'-x,y+1/2,-z'
'x,-y+1/2,z'
'y+1/2,x+1/2,-z'
'-y+1/2,-x+1/2,z'
loop_
_atom_site_label
_atom_site_fract_x
_atom_site_fract_y
_atom_site_fract_z
_atom_site_occupancy
K1 0.250 0.250 0.137 1
Th1 0.250 0.750 0.500 1
Te1 0.250 0.250 0.745 1


(9)
# Mg5Zn12Cu2 (PBE-GGA, relaxed)
# * formation energy from the elements: -41 meV/atom
# * M_tot: 0.0 μB per cell
# * DOS at the Fermi energy: 10.42 states/eV/cell
data_Mg5Zn12Cu2
_chemical_formula_sum 'Mg10 Zn24 Cu4'
_cell_length_a 14.300
_cell_length_b 6.948
_cell_length_c 6.403
_cell_angle_alpha 90.00
_cell_angle_beta 94.71
_cell_angle_gamma 90.00
_symmetry_space_group_name_H-M 'C 1 2/m 1'
_symmetry_Int_Tables_number 12
_symmetry_space_group_name_Hall '-C 2y'
loop_
_atom_site_label
_atom_site_fract_x
_atom_site_fract_y
_atom_site_fract_z
_atom_site_occupancy
Mg1 0.000 0.000 0.000 1
Mg2 0.194 0.500 0.532 1
Mg3 0.242 0.000 0.930 1
Zn1 0.055 0.500 0.183 1
Zn2 0.093 0.000 0.592 1
Zn3 0.108 0.304 0.844 1
Zn4 0.145 0.187 0.256 1
Cu1 0.000 0.312 0.500 1


(10)
# VFeAsSe2 (PBE-GGA, relaxed)
# * energy relative to the elements, uncorrected: 67 kJ per mole of atoms
# * M_tot: 1.2 μB per cell
# * DOS at the Fermi energy: 7.67 states/eV/cell
data_VFeAsSe2
_chemical_formula_sum 'V1 Fe1 As1 Se2'
_cell_length_a 4.777
_cell_length_b 4.777
_cell_length_c 4.345
_cell_angle_alpha 90.00
_cell_angle_beta 90.00
_cell_angle_gamma 90.00
_symmetry_space_group_name_H-M 'P 4/m m m'
_symmetry_Int_Tables_number 123
_symmetry_space_group_name_Hall '-P 4 2'
loop_
_atom_site_label
_atom_site_fract_x
_atom_site_fract_y
_atom_site_fract_z
_atom_site_occupancy
V1 0.000 0.000 0.000 1
Fe1 0.500 0.500 0.500 1
As1 0.500 0.500 0.000 1
Se1 0.000 0.500 0.500 1


(11)
# Ce4P2Ir (PBE-GGA, relaxed)
# * formation energy from the elements: -930 meV/atom
# * M_tot: 18.9 μB per cell
# * DOS at the Fermi energy: 82.99 states/eV/cell
data_Ce4P2Ir
_chemical_formula_sum 'Ce16 P8 Ir4'
_cell_length_a 8.610
_cell_length_b 9.159
_cell_length_c 9.217
_cell_angle_alpha 90.00
_cell_angle_beta 90.00
_cell_angle_gamma 90.00
_symmetry_space_group_name_H-M 'I 21 21 21'
_symmetry_Int_Tables_number 24
_symmetry_space_group_name_Hall 'I 2b 2c'
loop_
_atom_site_label
_atom_site_fract_x
_atom_site_fract_y
_atom_site_fract_z
_atom_site_occupancy
Ce1 0.000 0.051 0.054 1
Ce2 0.192 0.250 0.695 1
P1 0.001 0.000 0.750 1
P2 0.250 0.250 0.000 1
Ir1 0.000 0.250 0.384 1


(12)
# Li2Ag2Au3 (PBE-GGA, relaxed)
# * formation energy from the elements: -297 meV/atom
# * M_tot: 0.0 μB per cell
# * DOS at the Fermi energy: 3.26 states/eV/cell
data_Li2Ag2Au3
_chemical_formula_sum 'Li4 Ag4 Au6'
_cell_length_a 9.021
_cell_length_b 4.119
_cell_length_c 6.480
_cell_angle_alpha 90.00
_cell_angle_beta 99.10
_cell_angle_gamma 90.00
_symmetry_space_group_name_H-M 'C 1 2/m 1'
_symmetry_Int_Tables_number 12
_symmetry_space_group_name_Hall '-C 2y'
loop_
_atom_site_label
_atom_site_fract_x
_atom_site_fract_y
_atom_site_fract_z
_atom_site_occupancy
Li1 0.209 0.000 0.162 1
Ag1 0.077 0.000 0.726 1
Au1 0.000 0.500 0.000 1
Au2 0.142 0.500 0.424 1


(13)
# PuGa5Cu2 (PBE-GGA, relaxed)
# * formation energy from the elements: -204 meV/atom
# * M_tot: 11.1 μB per cell
# * DOS at the Fermi energy: 25.24 states/eV/cell
data_PuGa5Cu2
_chemical_formula_sum 'Pu2 Ga10 Cu4'
_cell_length_a 3.985
_cell_length_b 7.052
_cell_length_c 9.937
_cell_angle_alpha 90.00
_cell_angle_beta 90.00
_cell_angle_gamma 90.00
_symmetry_space_group_name_H-M 'I m m m'
_symmetry_Int_Tables_number 71
_symmetry_space_group_name_Hall '-I 2 2'
loop_
_atom_site_label
_atom_site_fract_x
_atom_site_fract_y
_atom_site_fract_z
_atom_site_occupancy
Pu1 0.000 0.000 0.000 1
Ga1 0.000 0.196 0.355 1
Ga2 0.000 0.500 0.000 1
Cu1 0.000 0.500 0.243 1


(14)
# GdYAu (PBE-GGA, relaxed)
# * formation energy from the elements: -441 meV/atom
# * M_tot: 29.9 μB per cell
# * DOS at the Fermi energy: 15.56 states/eV/cell
data_GdYAu
_chemical_formula_sum 'Gd4 Y4 Au4'
_cell_length_a 7.076
_cell_length_b 7.076
_cell_length_c 7.076
_cell_angle_alpha 90.00
_cell_angle_beta 90.00
_cell_angle_gamma 90.00
_symmetry_space_group_name_H-M 'F -4 3 m'
_symmetry_Int_Tables_number 216
_symmetry_space_group_name_Hall 'F -4 2 3'
loop_
_atom_site_label
_atom_site_fract_x
_atom_site_fract_y
_atom_site_fract_z
_atom_site_occupancy
Gd1 0.000 0.000 0.000 1
Y1 0.000 0.000 0.500 1
Au1 0.250 0.250 0.750 1


(15)
# Si2IrAu (PBE-GGA, relaxed)
# * energy relative to the elements, uncorrected: -16 kJ per mole of atoms
# * M_tot: 0.0 μB per cell
# * DOS at the Fermi energy: 0.55 states/eV/cell
data_Si2IrAu
_chemical_formula_sum 'Si2 Ir1 Au1'
_cell_length_a 3.471
_cell_length_b 3.471
_cell_length_c 5.032
_cell_angle_alpha 90.00
_cell_angle_beta 90.00
_cell_angle_gamma 90.00
_symmetry_space_group_name_H-M 'P 4 m m'
_symmetry_Int_Tables_number 99
_symmetry_space_group_name_Hall 'P 4 -2'
loop_
_atom_site_label
_atom_site_fract_x
_atom_site_fract_y
_atom_site_fract_z
_atom_site_occupancy
Si1 0.000 0.000 0.000 1
Si2 0.500 0.500 0.327 1
Ir1 0.500 0.500 0.851 1
Au1 0.000 0.000 0.498 1


(16)
# NaAgAu2 (PBE-GGA, relaxed)
# * formation energy from the elements: -152 meV/atom
# * M_tot: 0.0 μB per cell
# * DOS at the Fermi energy: 1.12 states/eV/cell
data_NaAgAu2
_chemical_formula_sum 'Na1 Ag1 Au2'
_cell_length_a 4.247
_cell_length_b 4.247
_cell_length_c 4.126
_cell_angle_alpha 90.00
_cell_angle_beta 90.00
_cell_angle_gamma 90.00
_symmetry_space_group_name_H-M 'P 4/m m m'
_symmetry_Int_Tables_number 123
_symmetry_space_group_name_Hall '-P 4 2'
loop_
_atom_site_label
_atom_site_fract_x
_atom_site_fract_y
_atom_site_fract_z
_atom_site_occupancy
Na1 0.000 0.000 0.000 1
Ag1 0.500 0.500 0.000 1
Au1 0.000 0.500 0.500 1


(17)
# Sr3Zn8Ni (PBE-GGA, relaxed)
# * formation energy from the elements: -74 meV/atom
# * M_tot: 0.0 μB per cell
# * DOS at the Fermi energy: 13.89 states/eV/cell
data_Sr3Zn8Ni
_chemical_formula_sum 'Sr9 Zn24 Ni3'
_cell_length_a 5.3386
_cell_length_b 5.3386
_cell_length_c 31.2174
_cell_angle_alpha 90.00
_cell_angle_beta 90.00
_cell_angle_gamma 120.00
_symmetry_space_group_name_H-M 'R 3 m'
_symmetry_Int_Tables_number 160
_symmetry_space_group_name_Hall 'R 3 -2"'
loop_
_atom_site_label
_atom_site_fract_x
_atom_site_fract_y
_atom_site_fract_z
_atom_site_occupancy
Sr1 0.0000 0.0000 0.0000 1
Sr2 0.0000 0.0000 0.1257 1
Sr3 0.0000 0.0000 0.5184 1
Zn1 0.0000 0.0000 0.3154 1
Zn2 0.0000 0.0000 0.8383 1
Zn3 0.0010 0.5005 0.0631 1
Zn4 0.1686 0.3372 0.9112 1
Ni1 0.0000 0.0000 0.6079 1


(18)
# BaPaSb2 (PBE-GGA, relaxed)
# * energy relative to the elements, uncorrected: -65 kJ per mole of atoms
# * M_tot: 2.8 μB per cell
# * DOS at the Fermi energy: 18.07 states/eV/cell
data_BaPaSb2
_chemical_formula_sum 'Ba3 Pa3 Sb6'
_cell_length_a 4.5478
_cell_length_b 4.5478
_cell_length_c 24.4886
_cell_angle_alpha 90.00
_cell_angle_beta 90.00
_cell_angle_gamma 120.00
_symmetry_space_group_name_H-M 'R 3 m'
_symmetry_Int_Tables_number 160
_symmetry_space_group_name_Hall 'R 3 -2"'
loop_
_atom_site_label
_atom_site_fract_x
_atom_site_fract_y
_atom_site_fract_z
_atom_site_occupancy
Ba1 0.0000 0.0000 0.0000 1
Pa1 0.0000 0.0000 0.8284 1
Sb1 0.0000 0.0000 0.2326 1
Sb2 0.0000 0.0000 0.4267 1


(19)
# TaIn2Ir (PBE-GGA, relaxed)
# * formation energy from the elements: 152 meV/atom
# * M_tot: 0.0 μB per cell
# * DOS at the Fermi energy: 2.36 states/eV/cell
data_TaIn2Ir
_chemical_formula_sum 'Ta1 In2 Ir1'
_cell_length_a 4.188
_cell_length_b 4.188
_cell_length_c 4.222
_cell_angle_alpha 90.00
_cell_angle_beta 90.00
_cell_angle_gamma 90.00
_symmetry_space_group_name_H-M 'P 4/m m m'
_symmetry_Int_Tables_number 123
_symmetry_space_group_name_Hall '-P 4 2'
loop_
_atom_site_label
_atom_site_fract_x
_atom_site_fract_y
_atom_site_fract_z
_atom_site_occupancy
Ta1 0.000 0.000 0.000 1
In1 0.000 0.500 0.500 1
Ir1 0.500 0.500 0.000 1


(20)
# Y4AlSe2 (PBE-GGA, relaxed)
# * energy relative to the elements, uncorrected: -109 kJ per mole of atoms
# * M_tot: 0.0 μB per cell
# * DOS at the Fermi energy: 20.30 states/eV/cell
data_Y4AlSe2
_chemical_formula_sum 'Y16 Al4 Se8'
_cell_length_a 4.007
_cell_length_b 13.404
_cell_length_c 13.836
_cell_angle_alpha 90.00
_cell_angle_beta 90.00
_cell_angle_gamma 90.00
_symmetry_space_group_name_H-M 'C m c m'
_symmetry_Int_Tables_number 63
_symmetry_space_group_name_Hall '-C 2c 2'
loop_
_atom_site_label
_atom_site_fract_x
_atom_site_fract_y
_atom_site_fract_z
_atom_site_occupancy
Y1 0.000 0.000 0.000 1
Y2 0.000 0.276 0.125 1
Y3 0.000 0.437 0.750 1
Al1 0.000 0.104 0.750 1
Se1 0.000 0.362 0.560 1